#i
The following is a DFT calculation (PBE) of an optimized crystal structure of Sc3MoRh.

## Properties
V: 115 Å³ per cell
Crystal system: cubic
Total moment: 0.00 μB/atom

Unit cell a=4.8695 b=4.8695 c=4.8695 alpha=90.00 beta=90.00 gamma=90.00
Positions (direct):
1 Sc 0.0000 0.0000 0.5000
2 Sc 0.0000 0.5000 0.0000
3 Sc 0.5000 0.0000 0.0000
4 Mo 0.5000 0.5000 0.5000
5 Rh 0.0000 0.0000 0.0000


#ii
The following is a DFT calculation (PBE) of an optimized crystal structure of Sc3MoRh.

## Properties
V: 114 Å³ per cell
Crystal system: cubic
Total moment: 0.00 μB/atom

Unit cell a=4.8470 b=4.8470 c=4.8470 alpha=90.00 beta=90.00 gamma=90.00
Positions (direct):
1 Sc 0.0000 0.0000 0.5000
2 Sc 0.0000 0.5000 0.0000
3 Sc 0.5000 0.0000 0.0000
4 Mo 0.0000 0.0000 0.0000
5 Rh 0.5000 0.5000 0.5000


Most stable: #i


#i
The following is a DFT calculation (PBE) of an optimized crystal structure of ScMo3Rh.

## Properties
V: 106 Å³ per cell
Crystal system: cubic
Total moment: 0.00 μB/atom

Unit cell a=4.7283 b=4.7283 c=4.7283 alpha=90.00 beta=90.00 gamma=90.00
Positions (direct):
1 Sc 0.0000 0.0000 0.0000
2 Mo 0.0000 0.5000 0.5000
3 Mo 0.5000 0.0000 0.5000
4 Mo 0.5000 0.5000 0.0000
5 Rh 0.5000 0.5000 0.5000


#ii
The following is a DFT calculation (PBE) of an optimized crystal structure of ScMo3Rh.

## Properties
V: 92 Å³ per cell
Crystal system: cubic
Total moment: 0.00 μB/atom

Unit cell a=4.5183 b=4.5183 c=4.5183 alpha=90.00 beta=90.00 gamma=90.00
Positions (direct):
1 Sc 0.0000 0.0000 0.0000
2 Mo 0.0000 0.0000 0.5000
3 Mo 0.0000 0.5000 0.0000
4 Mo 0.5000 0.0000 0.0000
5 Rh 0.5000 0.5000 0.5000


Most stable: #i


#i
The following is a DFT calculation (PBE) of an optimized crystal structure of MoRh3Se.

## Properties
V: 94 Å³ per cell
Crystal system: cubic
Total moment: 0.88 μB/atom

Unit cell a=4.5408 b=4.5408 c=4.5408 alpha=90.00 beta=90.00 gamma=90.00
Positions (direct):
1 Mo 0.0000 0.0000 0.0000
2 Rh 0.0000 0.5000 0.5000
3 Rh 0.5000 0.0000 0.5000
4 Rh 0.5000 0.5000 0.0000
5 Se 0.5000 0.5000 0.5000


#ii
The following is a DFT calculation (PBE) of an optimized crystal structure of MoRh3Se.

## Properties
V: 103 Å³ per cell
Crystal system: cubic
Total moment: 0.00 μB/atom

Unit cell a=4.6935 b=4.6935 c=4.6935 alpha=90.00 beta=90.00 gamma=90.00
Positions (direct):
1 Mo 0.0000 0.0000 0.0000
2 Rh 0.0000 0.0000 0.5000
3 Rh 0.0000 0.5000 0.0000
4 Rh 0.5000 0.0000 0.0000
5 Se 0.5000 0.5000 0.5000


Most stable: #i


#i
The following is a DFT calculation (PBE) of an optimized crystal structure of MoRhSe3.

## Properties
V: 117 Å³ per cell
Crystal system: cubic
Total moment: 0.26 μB/atom

Unit cell a=4.8878 b=4.8878 c=4.8878 alpha=90.00 beta=90.00 gamma=90.00
Positions (direct):
1 Mo 0.0000 0.0000 0.0000
2 Rh 0.5000 0.5000 0.5000
3 Se 0.0000 0.0000 0.5000
4 Se 0.0000 0.5000 0.0000
5 Se 0.5000 0.0000 0.0000


#ii
The following is a DFT calculation (PBE) of an optimized crystal structure of MoRhSe3.

## Properties
V: 100 Å³ per cell
Crystal system: orthorhombic
Total moment: 0.00 μB/atom

Unit cell a=3.9848 b=5.0899 c=5.0899 alpha=104.51 beta=90.00 gamma=90.00
Positions (direct):
1 Mo 0.0000 0.0000 0.0000
2 Rh 0.5000 0.3870 0.3870
3 Se 0.0000 0.1576 0.5247
4 Se 0.0000 0.5247 0.1576
5 Se 0.5000 0.7814 0.7814


Most stable: #ii


#i
The following is a DFT calculation (PBE) of an optimized crystal structure of Mo3RhSe.

## Properties
V: 106 Å³ per cell
Crystal system: cubic
Total moment: 0.00 μB/atom

Unit cell a=4.7318 b=4.7318 c=4.7318 alpha=90.00 beta=90.00 gamma=90.00
Positions (direct):
1 Mo 0.0000 0.0000 0.5000
2 Mo 0.0000 0.5000 0.0000
3 Mo 0.5000 0.0000 0.0000
4 Rh 0.0000 0.0000 0.0000
5 Se 0.5000 0.5000 0.5000


#ii
The following is a DFT calculation (PBE) of an optimized crystal structure of Mo3RhSe.

## Properties
V: 94 Å³ per cell
Crystal system: cubic
Total moment: 0.00 μB/atom

Unit cell a=4.5511 b=4.5511 c=4.5511 alpha=90.00 beta=90.00 gamma=90.00
Positions (direct):
1 Mo 0.0000 0.0000 0.5000
2 Mo 0.0000 0.5000 0.0000
3 Mo 0.5000 0.0000 0.0000
4 Rh 0.5000 0.5000 0.5000
5 Se 0.0000 0.0000 0.0000


Most stable: #ii


#i
The following is a DFT calculation (PBE) of an optimized crystal structure of MoRhSe4.

## Properties
V: 130 Å³ per cell
Crystal system: orthorhombic
Total moment: 0.08 μB/atom

Unit cell a=5.8551 b=5.8551 c=3.8057 alpha=90.00 beta=90.00 gamma=90.99
Positions (direct):
1 Mo 0.0000 0.0000 0.0000
2 Rh 0.5000 0.5000 0.5000
3 Se 0.1997 0.8003 0.5000
4 Se 0.3041 0.3041 0.0000
5 Se 0.6959 0.6959 0.0000
6 Se 0.8003 0.1997 0.5000


#ii
The following is a DFT calculation (PBE) of an optimized crystal structure of MoRhSe4.

## Properties
V: 119 Å³ per cell
Crystal system: cubic
Total moment: 0.48 μB/atom

Unit cell a=5.5188 b=5.5188 c=5.5188 alpha=60.00 beta=60.00 gamma=60.00
Positions (direct):
1 Mo 0.0000 0.0000 0.0000
2 Rh 0.7500 0.7500 0.7500
3 Se 0.3757 0.3757 0.3757
4 Se 0.3757 0.3757 0.8729
5 Se 0.3757 0.8729 0.3757
6 Se 0.8729 0.3757 0.3757


Most stable: #i


#i
The following is a DFT calculation (PBE) of an optimized crystal structure of SiTeMoRh.

## Properties
V: 68 Å³ per cell
Crystal system: orthorhombic
Total moment: 0.00 μB/atom

Unit cell a=3.4578 b=6.3173 c=6.3173 alpha=29.43 beta=90.00 gamma=90.00
Positions (direct):
1 Si 0.0000 0.0000 0.0000
2 Te 0.0000 0.2382 0.2382
3 Mo 0.5000 0.5869 0.5869
4 Rh 0.5000 0.8735 0.8735


#ii
The following is a DFT calculation (PBE) of an optimized crystal structure of SiTeMoRh.

## Properties
V: 71 Å³ per cell
Crystal system: monoclinic
Total moment: 0.00 μB/atom

Unit cell a=4.5803 b=4.5803 c=5.0427 alpha=105.66 beta=105.66 gamma=44.17
Positions (direct):
1 Si 0.0000 0.0000 0.0000
2 Te 0.7551 0.7551 0.4429
3 Mo 0.2909 0.2909 0.0484
4 Rh 0.5107 0.5107 0.6678


Most stable: #i


#i
The following is a DFT calculation (PBE) of an optimized crystal structure of SiTeMoRh.

## Properties
V: 73 Å³ per cell
Crystal system: orthorhombic
Total moment: 0.00 μB/atom

Unit cell a=3.2088 b=6.9317 c=6.9317 alpha=28.29 beta=90.00 gamma=90.00
Positions (direct):
1 Si 0.0000 0.0000 0.0000
2 Te 0.5000 0.2507 0.2507
3 Mo 0.0000 0.6399 0.6399
4 Rh 0.5000 0.4524 0.4524


#ii
The following is a DFT calculation (PBE) of an optimized crystal structure of SiTeMoRh.

## Properties
V: 76 Å³ per cell
Crystal system: monoclinic
Total moment: 0.00 μB/atom

Unit cell a=3.3547 b=4.7819 c=4.9856 alpha=90.00 beta=108.73 gamma=90.00
Positions (direct):
1 Si 0.0000 0.0000 0.0000
2 Te 0.7900 0.5000 0.6128
3 Mo 0.0858 0.5000 0.1839
4 Rh 0.6654 0.0000 0.3472


Most stable: #i


#i
The following is a DFT calculation (PBE) of an optimized crystal structure of SiTeMoRh.

## Properties
V: 78 Å³ per cell
Crystal system: trigonal
Total moment: 0.00 μB/atom

Unit cell a=3.6737 b=3.6737 c=6.6789 alpha=90.00 beta=90.00 gamma=120.00
Positions (direct):
1 Si 0.0000 0.0000 0.0000
2 Te 0.3333 0.6667 0.5113
3 Mo 0.6667 0.3333 0.7736
4 Rh 0.3333 0.6667 0.1174


#ii
The following is a DFT calculation (PBE) of an optimized crystal structure of SiTeMoRh.

## Properties
V: 69 Å³ per cell
Crystal system: orthorhombic
Total moment: 0.00 μB/atom

Unit cell a=7.5133 b=7.5133 c=7.5133 alpha=156.64 beta=155.59 gamma=34.04
Positions (direct):
1 Si 0.0000 0.0000 0.0000
2 Te 0.2492 0.7492 0.5000
3 Mo 0.6001 0.6001 0.0000
4 Rh 0.4061 0.4061 0.0000


#iii
The following is a DFT calculation (PBE) of an optimized crystal structure of SiTeMoRh.

## Properties
V: 74 Å³ per cell
Crystal system: monoclinic
Total moment: 0.00 μB/atom

Unit cell a=3.7410 b=3.7410 c=6.4271 alpha=100.07 beta=100.07 gamma=57.36
Positions (direct):
1 Si 0.0000 0.0000 0.0000
2 Te 0.1098 0.1098 0.4966
3 Mo 0.3761 0.3761 0.2166
4 Rh 0.6460 0.6460 0.8513


#iv
The following is a DFT calculation (PBE) of an optimized crystal structure of SiTeMoRh.

## Properties
V: 69 Å³ per cell
Crystal system: tetragonal
Total moment: 0.10 μB/atom

Unit cell a=3.3780 b=3.3780 c=6.0700 alpha=90.00 beta=90.00 gamma=90.00
Positions (direct):
1 Si 0.0000 0.0000 0.0000
2 Te 0.5000 0.5000 0.3708
3 Mo 0.0000 0.0000 0.5889
4 Rh 0.5000 0.5000 0.9206


Most stable: #i


#i
The following is a DFT calculation (PBE) of an optimized crystal structure of SiTeMoRh.

## Properties
V: 69 Å³ per cell
Crystal system: tetragonal
Total moment: 0.00 μB/atom

Unit cell a=7.5151 b=7.5151 c=7.5151 alpha=156.12 beta=156.12 gamma=34.03
Positions (direct):
1 Si 0.0000 0.0000 0.0000
2 Te 0.2309 0.2309 0.0000
3 Mo 0.6116 0.6116 0.0000
4 Rh 0.4162 0.4162 0.0000


#ii
The following is a DFT calculation (PBE) of an optimized crystal structure of SiTeMoRh.

## Properties
V: 75 Å³ per cell
Crystal system: trigonal
Total moment: 0.00 μB/atom

Unit cell a=7.6771 b=7.6771 c=7.6771 alpha=25.70 beta=25.70 gamma=25.70
Positions (direct):
1 Si 0.0000 0.0000 0.0000
2 Te 0.1580 0.1580 0.1580
3 Mo 0.4096 0.4096 0.4096
4 Rh 0.2779 0.2779 0.2779


#iii
The following is a DFT calculation (PBE) of an optimized crystal structure of SiTeMoRh.

## Properties
V: 78 Å³ per cell
Crystal system: trigonal
Total moment: 0.00 μB/atom

Unit cell a=7.0877 b=7.0877 c=7.0877 alpha=29.77 beta=29.77 gamma=29.77
Positions (direct):
1 Si 0.0000 0.0000 0.0000
2 Te 0.8400 0.8400 0.8400
3 Mo 0.2605 0.2605 0.2605
4 Rh 0.7096 0.7096 0.7096


#iv
The following is a DFT calculation (PBE) of an optimized crystal structure of SiTeMoRh.

## Properties
V: 69 Å³ per cell
Crystal system: monoclinic
Total moment: 0.00 μB/atom

Unit cell a=4.8237 b=4.8237 c=5.5147 alpha=123.31 beta=123.31 gamma=41.42
Positions (direct):
1 Si 0.0000 0.0000 0.0000
2 Te 0.5105 0.5105 0.4612
3 Mo 0.7355 0.7355 0.0685
4 Rh 0.3046 0.3046 0.6476


Most stable: #ii


#i
The following is a DFT calculation (PBE) of an optimized crystal structure of YSi2MoRh.

## Properties
V: 103 Å³ per cell
Crystal system: tetragonal
Total moment: 0.14 μB/atom

Unit cell a=4.5491 b=4.5491 c=4.9575 alpha=90.00 beta=90.00 gamma=90.00
Positions (direct):
1 Y 0.0000 0.0000 0.0000
2 Si 0.0000 0.5000 0.5000
3 Si 0.5000 0.0000 0.5000
4 Mo 0.5000 0.5000 0.0000
5 Rh 0.5000 0.5000 0.5000


#ii
The following is a DFT calculation (PBE) of an optimized crystal structure of YSi2MoRh.

## Properties
V: 124 Å³ per cell
Crystal system: tetragonal
Total moment: 0.32 μB/atom

Unit cell a=5.0561 b=5.0561 c=4.8458 alpha=90.00 beta=90.00 gamma=90.00
Positions (direct):
1 Y 0.0000 0.0000 0.0000
2 Si 0.0000 0.5000 0.0000
3 Si 0.5000 0.0000 0.0000
4 Mo 0.0000 0.0000 0.5000
5 Rh 0.5000 0.5000 0.5000


Most stable: #i